i:
Compound: TbTmPd2
Source: Alexandria via LeMat-Bulk
Functional: PBE
Structure: relaxed

Results
As for the total magnetization: 0.0 μB/f.u. The value obtained for the density is 9.774 g cm⁻³.

POSCAR file:
```
TbTmPd2
1.0
5.5860 0.0000 0.0000
0.0000 5.6528 -0.2926
0.0000 -1.4436 11.7111
Pd Tm Tb
8 4 4
Cartesian
4.1922 4.0733 9.6717 Pd
4.1911 2.9296 1.6422 Pd
4.1911 4.8278 3.7744 Pd
1.3948 -0.6186 7.6441 Pd
1.3937 1.9687 3.9625 Pd
4.1922 2.2404 7.4560 Pd
1.3948 1.2796 9.7763 Pd
1.3937 0.1358 1.7468 Pd
4.1877 0.0837 1.2039 Tm
4.1877 2.0208 4.5054 Tm
1.3983 2.1883 6.9131 Tm
1.3983 4.1254 10.2147 Tm
4.1885 -0.6110 7.0689 Tb
4.1885 1.2719 10.3515 Tb
1.3975 2.9372 1.0670 Tb
1.3975 4.8201 4.3496 Tb
```

=====

ii:
Compound: TbTmPd2
Source: Alexandria via LeMat-Bulk
Functional: PBE
Structure: relaxed

Results
As for the total magnetization: 0.0 μB/f.u. The value obtained for the density is 9.475 g cm⁻³.

POSCAR file:
```
TbTmPd2
1.0
-0.9539 3.5517 1.7619
-3.9105 1.0369 0.5116
-1.6260 -1.3957 6.6521
Pd Tb Tm
2 1 1
Cartesian
-1.6226 0.7759 2.2764 Pd
-4.8678 2.4169 6.6492 Pd
0.0000 0.0000 0.0000 Tb
-3.2452 1.5964 4.4628 Tm
```

=====

iii:
Compound: TbTmPd2
Source: Alexandria via LeMat-Bulk
Functional: PBE
Structure: relaxed

Results
As for the total magnetization: 0.0 μB/f.u. The value obtained for the density is 10.548 g cm⁻³.

POSCAR file:
```
TbTmPd2
1.0
-2.6519 1.4629 -1.5955
-2.4747 0.2290 4.3231
1.9542 4.5025 0.8801
Pd Tm Tb
2 1 1
Cartesian
0.9771 2.2513 0.4401 Pd
-1.2373 0.1145 2.1616 Pd
-1.5862 3.0972 1.8039 Tm
-1.3260 0.7314 -0.7978 Tb
```

=====

iv:
Compound: TbTmPd2
Source: Alexandria via LeMat-Bulk
Functional: PBE
Structure: relaxed

Results
As for the total magnetization: 0.0 μB/f.u. The value obtained for the density is 10.121 g cm⁻³.

POSCAR file:
```
TbTmPd2
1.0
3.5024 0.0000 -1.2784
0.0000 4.5260 0.0000
0.0447 0.0000 5.5798
Pd Tm Tb
2 1 1
Cartesian
0.6303 2.2630 4.6747 Pd
3.5098 0.0000 1.6841 Pd
1.5815 2.2630 1.8329 Tm
2.5686 0.0000 4.5521 Tb
```

=====

Which structure is most stable? iv, by 25 meV per atom over the runner-up.